Record 1
A plane-wave DFT calculation with PBE was carried out for a relaxed LaDy2Mg crystal.

abc: 7.9026 7.9026 7.9026
angles: 90.00 90.00 90.00
Space group Fm-3m (No. 225)
Symmetry-distinct sites (fractional):
La1 0.0000 0.0000 0.0000
Dy1 0.2500 0.2500 0.2500
Mg1 0.0000 0.0000 0.5000

Properties
crystal system: cubic
DFT total energy: -3.818 eV per atom



Record 2
A plane-wave DFT calculation with PBE was carried out for a relaxed LaDy2Mg crystal.

abc: 12.8482 3.8307 5.6556
angles: 90.00 116.05 90.00
Space group C2/m (No. 12)
Symmetry-distinct sites (fractional):
La1 0.0000 0.0000 0.0000
Dy1 0.2276 0.0000 0.7277
Mg1 0.0000 0.5000 0.5000

Properties
crystal system: monoclinic
DFT total energy: -3.957 eV per atom



Record 3
A plane-wave DFT calculation with PBE was carried out for a relaxed LaDy7Mg2 crystal.

abc: 8.7339 15.9670 5.4679
angles: 90.00 90.00 90.00
Space group Cmmm (No. 65)
Symmetry-distinct sites (fractional):
La1 0.0000 0.0000 0.0000
Dy1 0.0000 0.2210 0.0000
Dy2 0.0000 0.5000 0.5000
Dy3 0.1815 0.1160 0.5000
Mg1 0.0000 0.2969 0.5000

Properties
crystal system: orthorhombic
DFT total energy: -3.446 eV per atom



Record 4
A plane-wave DFT calculation with PBE was carried out for a relaxed LaDy2Mg crystal.

abc: 3.4266 3.4266 36.6292
angles: 90.00 90.00 120.00
Space group R-3m (No. 166, hexagonal axes)
Symmetry-distinct sites (fractional):
La1 0.0000 0.0000 0.0000
Dy1 0.0000 0.0000 0.0933
Mg1 0.0000 0.0000 0.5000

Properties
crystal system: trigonal
DFT total energy: -3.764 eV per atom



| no. | energy relative to the elements (eV/atom) |
| --- | --- |
| 1 | 0.11 |
| 2 | -0.03 |
| 3 | 0.59 |
| 4 | 0.17 |